RbGaTc: optimized geometry, PBE-GGA.

abc: 7.4701 7.4701 7.4701
angles: 90.00 90.00 90.00
Space group F-43m (No. 216)
One atom of each set of equivalent atoms:
1 Rb 0.0000 0.0000 0.0000
2 Ga 0.2500 0.2500 0.7500
3 Tc 0.2500 0.2500 0.2500

Results
**Distance to the lowest polymorph of the same formula**: 552 meV per atom